Run A
Compound: Ti2Se2Cl
Source: Alexandria via LeMat-Bulk
Functional: PBE-GGA
Structure: optimized geometry

It has space group C2/m (No. 12), with a = 11.894 Å, b = 5.028 Å, c = 7.269 Å, α = 90.00°, β = 112.41° and γ = 90.00°. The distinct sites, in fractional coordinates, are Ti at (0.003, 0.000, 0.208), Ti at (0.143, 0.500, 0.073), Se at (0.014, 0.500, 0.280), Se at (0.190, 0.000, 0.110) and Cl at (0.148, 0.000, 0.609).



Run B
Compound: Ti2Se2Cl
Source: Alexandria via LeMat-Bulk
Functional: PBE-GGA
Structure: optimized geometry

It has space group P4/mbm (No. 127), with a = 7.347 Å, b = 7.347 Å, c = 3.349 Å, α = 90.00°, β = 90.00° and γ = 90.00°. The distinct sites, in fractional coordinates, are Ti at (0.135, 0.365, 0.000), Se at (0.145, 0.645, 0.500) and Cl at (0.000, 0.000, 0.000).



Going by the energies, run A is most stable and the next is 229 meV/atom up.



Run A
Compound: Tl5Se2Cl
Source: Alexandria via LeMat-Bulk
Functional: PBE-GGA
Structure: optimized geometry

It has space group Cmcm (No. 63), with a = 6.565 Å, b = 12.985 Å, c = 13.985 Å, α = 90.00°, β = 90.00° and γ = 90.00°. The distinct sites, in fractional coordinates, are Tl at (0.000, 0.057, 0.124), Tl at (0.000, 0.285, 0.750), Tl at (0.000, 0.365, 0.049), Se at (0.000, 0.165, 0.566) and Cl at (0.000, 0.283, 0.250).



Run B
Compound: Tl5Se2Cl
Source: Alexandria via LeMat-Bulk
Functional: PBE-GGA
Structure: optimized geometry

It has space group P4/ncc (No. 130, origin choice 2), with a = 8.737 Å, b = 8.737 Å, c = 13.268 Å, α = 90.00°, β = 90.00° and γ = 90.00°. The distinct sites, in fractional coordinates, are Tl at (0.084, 0.625, 0.107), Tl at (0.250, 0.250, 0.202), Se at (0.089, 0.589, 0.750) and Cl at (0.250, 0.250, 0.454).



Going by the energies, run B is most stable and the next is 100 meV/atom up.



Run A
Compound: TlSe2Cl
Source: Alexandria via LeMat-Bulk
Functional: PBE-GGA
Structure: optimized geometry

It has space group P4/mmm (No. 123), with a = 4.002 Å, b = 4.002 Å, c = 7.272 Å, α = 90.00°, β = 90.00° and γ = 90.00°. The distinct sites, in fractional coordinates, are Tl at (0.000, 0.000, 0.000), Se at (0.000, 0.500, 0.500) and Cl at (0.500, 0.500, 0.000).



Run B
Compound: TlSe2Cl
Source: Alexandria via LeMat-Bulk
Functional: PBE-GGA
Structure: optimized geometry

It has space group Imm2 (No. 44), with a = 3.712 Å, b = 6.376 Å, c = 10.814 Å, α = 90.00°, β = 90.00° and γ = 90.00°. The distinct sites, in fractional coordinates, are Tl at (0.000, 0.000, 0.000), Se at (0.000, 0.000, 0.417), Se at (0.000, 0.500, 0.073) and Cl at (0.000, 0.500, 0.718).



Going by the energies, run B is most stable and the next is 123 meV/atom up.



Run A
Compound: Tl2SeCl4
Source: Alexandria via LeMat-Bulk
Functional: PBE-GGA
Structure: optimized geometry

It has space group I4/mmm (No. 139), with a = 5.506 Å, b = 5.506 Å, c = 14.967 Å, α = 90.00°, β = 90.00° and γ = 90.00°. The distinct sites, in fractional coordinates, are Tl at (0.000, 0.000, 0.128), Se at (0.000, 0.000, 0.500), Cl at (0.000, 0.000, 0.336) and Cl at (0.000, 0.500, 0.000).



Run B
Compound: Tl2SeCl4
Source: Alexandria via LeMat-Bulk
Functional: PBE-GGA
Structure: optimized geometry

It has space group I4/mmm (No. 139), with a = 7.334 Å, b = 7.334 Å, c = 8.606 Å, α = 90.00°, β = 90.00° and γ = 90.00°. The distinct sites, in fractional coordinates, are Tl at (0.000, 0.500, 0.250), Se at (0.000, 0.000, 0.000) and Cl at (0.238, 0.238, 0.000).



Going by the energies, run B is most stable and the next is 107 meV/atom up.



Run A
Compound: TlSeCl3
Source: Alexandria via LeMat-Bulk
Functional: PBE-GGA
Structure: optimized geometry

It has space group P-1 (No. 2), with a = 5.600 Å, b = 7.456 Å, c = 8.395 Å, α = 73.28°, β = 84.76° and γ = 81.67°. The distinct sites, in fractional coordinates, are Tl at (0.205, 0.262, 0.228), Se at (0.274, 0.667, 0.333), Cl at (0.071, 0.133, 0.652), Cl at (0.260, 0.707, 0.046) and Cl at (0.328, 0.600, 0.652).



Run B
Compound: TlSeCl3
Source: Alexandria via LeMat-Bulk
Functional: PBE-GGA
Structure: optimized geometry

It has space group Pm-3m (No. 221), with a = 5.228 Å, b = 5.228 Å, c = 5.228 Å, α = 90.00°, β = 90.00° and γ = 90.00°. The distinct sites, in fractional coordinates, are Tl at (0.000, 0.000, 0.000), Se at (0.500, 0.500, 0.500) and Cl at (0.000, 0.500, 0.500).



Run C
Compound: TlSeCl3
Source: Alexandria via LeMat-Bulk
Functional: PBE-GGA
Structure: optimized geometry

It has space group P2_1/c (No. 14), with a = 7.704 Å, b = 5.081 Å, c = 18.780 Å, α = 90.00°, β = 112.61° and γ = 90.00°. The distinct sites, in fractional coordinates, are Tl at (0.220, 0.013, 0.170), Se at (0.376, 0.606, 0.934), Cl at (0.100, 0.013, 0.329), Cl at (0.197, 0.704, 0.494) and Cl at (0.457, 0.510, 0.162).



Run D
Compound: TlSeCl3
Source: Alexandria via LeMat-Bulk
Functional: PBE-GGA
Structure: optimized geometry

It has space group Pm-3m (No. 221), with a = 5.380 Å, b = 5.380 Å, c = 5.380 Å, α = 90.00°, β = 90.00° and γ = 90.00°. The distinct sites, in fractional coordinates, are Tl at (0.000, 0.000, 0.000), Se at (0.500, 0.500, 0.500) and Cl at (0.000, 0.000, 0.500).



Going by the energies, run A is most stable and the next is 19 meV/atom up.



Run A
Compound: Tl2Se2Cl
Source: Alexandria via LeMat-Bulk
Functional: PBE-GGA
Structure: optimized geometry

It has space group P4/mbm (No. 127), with a = 8.546 Å, b = 8.546 Å, c = 4.882 Å, α = 90.00°, β = 90.00° and γ = 90.00°. The distinct sites, in fractional coordinates, are Tl at (0.202, 0.298, 0.000), Se at (0.096, 0.596, 0.500) and Cl at (0.000, 0.000, 0.000).



Run B
Compound: Tl2Se2Cl
Source: Alexandria via LeMat-Bulk
Functional: PBE-GGA
Structure: optimized geometry

It has space group I4/mmm (No. 139), with a = 3.977 Å, b = 3.977 Å, c = 18.343 Å, α = 90.00°, β = 90.00° and γ = 90.00°. The distinct sites, in fractional coordinates, are Tl at (0.000, 0.000, 0.100), Se at (0.000, 0.500, 0.250) and Cl at (0.000, 0.000, 0.500).



Going by the energies, run B is most stable and the next is 142 meV/atom up.



Run A
Compound: Tl3SeCl
Source: Alexandria via LeMat-Bulk
Functional: PBE-GGA
Structure: optimized geometry

It has space group Cmcm (No. 63), with a = 4.253 Å, b = 12.284 Å, c = 12.853 Å, α = 90.00°, β = 90.00° and γ = 90.00°. The distinct sites, in fractional coordinates, are Tl at (0.000, 0.058, 0.250), Tl at (0.000, 0.320, 0.085), Se at (0.000, 0.256, 0.750) and Cl at (0.000, 0.000, 0.000).



Run B
Compound: Tl3SeCl
Source: Alexandria via LeMat-Bulk
Functional: PBE-GGA
Structure: optimized geometry

It has space group Pm-3m (No. 221), with a = 5.822 Å, b = 5.822 Å, c = 5.822 Å, α = 90.00°, β = 90.00° and γ = 90.00°. The distinct sites, in fractional coordinates, are Tl at (0.000, 0.000, 0.500), Se at (0.500, 0.500, 0.500) and Cl at (0.000, 0.000, 0.000).



Going by the energies, run A is most stable and the next is 343 meV/atom up.



Run A
Compound: Tl3SeCl
Source: Alexandria via LeMat-Bulk
Functional: PBE-GGA
Structure: optimized geometry

It has space group P-1 (No. 2), with a = 4.712 Å, b = 6.882 Å, c = 11.821 Å, α = 101.96°, β = 90.21° and γ = 109.80°. The distinct sites, in fractional coordinates, are Tl at (0.104, 0.206, 0.214), Tl at (0.139, 0.271, 0.592), Tl at (0.369, 0.739, 0.993), Se at (0.134, 0.270, 0.853) and Cl at (0.374, 0.754, 0.601).



Run B
Compound: Tl3SeCl
Source: Alexandria via LeMat-Bulk
Functional: PBE-GGA
Structure: optimized geometry

It has space group Pm-3m (No. 221), with a = 6.203 Å, b = 6.203 Å, c = 6.203 Å, α = 90.00°, β = 90.00° and γ = 90.00°. The distinct sites, in fractional coordinates, are Tl at (0.000, 0.000, 0.500), Se at (0.000, 0.000, 0.000) and Cl at (0.500, 0.500, 0.500).



Going by the energies, run A is most stable and the next is 294 meV/atom up.



Run A
Compound: TlSe3Cl
Source: Alexandria via LeMat-Bulk
Functional: PBE-GGA
Structure: optimized geometry

It has space group Pm-3m (No. 221), with a = 5.153 Å, b = 5.153 Å, c = 5.153 Å, α = 90.00°, β = 90.00° and γ = 90.00°. The distinct sites, in fractional coordinates, are Tl at (0.000, 0.000, 0.000), Se at (0.000, 0.500, 0.500) and Cl at (0.500, 0.500, 0.500).



Run B
Compound: TlSe3Cl
Source: Alexandria via LeMat-Bulk
Functional: PBE-GGA
Structure: optimized geometry

It has space group Pm-3m (No. 221), with a = 5.551 Å, b = 5.551 Å, c = 5.551 Å, α = 90.00°, β = 90.00° and γ = 90.00°. The distinct sites, in fractional coordinates, are Tl at (0.000, 0.000, 0.000), Se at (0.000, 0.000, 0.500) and Cl at (0.500, 0.500, 0.500).



Going by the energies, run A is most stable and the next is 229 meV/atom up.



Run A
Compound: ZrTlSe2Cl
Source: Alexandria via LeMat-Bulk
Functional: PBE-GGA
Structure: optimized geometry

It has space group P4/mmm (No. 123), with a = 5.286 Å, b = 5.286 Å, c = 5.123 Å, α = 90.00°, β = 90.00° and γ = 90.00°. The distinct sites, in fractional coordinates, are Zr at (0.000, 0.000, 0.000), Tl at (0.500, 0.500, 0.500), Se at (0.000, 0.500, 0.000) and Cl at (0.000, 0.000, 0.500).



Run B
Compound: ZrTlSe2Cl
Source: Alexandria via LeMat-Bulk
Functional: PBE-GGA
Structure: optimized geometry

It has space group P2_1/m (No. 11), with a = 8.882 Å, b = 3.889 Å, c = 8.992 Å, α = 90.00°, β = 105.09° and γ = 90.00°. The distinct sites, in fractional coordinates, are Zr at (0.172, 0.250, 0.153), Tl at (0.319, 0.750, 0.746), Se at (0.047, 0.250, 0.839), Se at (0.369, 0.750, 0.124) and Cl at (0.248, 0.250, 0.438).



Going by the energies, run B is most stable and the next is 159 meV/atom up.



Run A
Compound: Tm2SeCl
Source: Alexandria via LeMat-Bulk
Functional: PBE-GGA
Structure: optimized geometry

It has space group R-3m (No. 166, hexagonal axes), with a = 3.8062 Å, b = 3.8062 Å, c = 26.0601 Å, α = 90.00°, β = 90.00° and γ = 120.00°. The distinct sites, in fractional coordinates, are Tm at (0.0000, 0.0000, 0.0984), Se at (0.0000, 0.0000, 0.5000) and Cl at (0.0000, 0.0000, 0.0000).



Run B
Compound: Tm2SeCl
Source: Alexandria via LeMat-Bulk
Functional: PBE-GGA
Structure: optimized geometry

It has space group R3m (No. 160, hexagonal axes), with a = 3.6493 Å, b = 3.6493 Å, c = 23.8843 Å, α = 90.00°, β = 90.00° and γ = 120.00°. The distinct sites, in fractional coordinates, are Tm at (0.0000, 0.0000, 0.0000), Tm at (0.0000, 0.0000, 0.1776), Se at (0.0000, 0.0000, 0.5901) and Cl at (0.0000, 0.0000, 0.7535).



Going by the energies, run A is most stable and the next is 14 meV/atom up.